[1]
The following is a GGA-PBEsol calculation of Nb3RuCl after structural relaxation, from Alexandria via LeMat-Bulk.

Calculated volume (Å³/f.u.): 88
Raw formation energy (meV per atom): 802.3
Total energy (eV/atom): -8.127

a = 4.453 Å, b = 4.453 Å, c = 4.453 Å
α = 90.00°, β = 90.00°, γ = 90.00°
Space group Pm-3m (No. 221)
Unique sites:
1 Nb 0.000 0.000 0.500 x3
2 Ru 0.500 0.500 0.500 x1
3 Cl 0.000 0.000 0.000 x1

[2]
The following is a GGA-PBEsol calculation of ScNbSCl2 after structural relaxation, from Alexandria via LeMat-Bulk.

Calculated volume (Å³/f.u.): 110
Raw formation energy (meV per atom): -452.4
Total energy (eV/atom): -5.618

a = 4.778 Å, b = 4.778 Å, c = 4.812 Å
α = 90.00°, β = 90.00°, γ = 90.00°
Space group P4/mmm (No. 123)
Unique sites:
1 Sc 0.000 0.000 0.000 x1
2 Nb 0.500 0.500 0.500 x1
3 S 0.500 0.500 0.000 x1
4 Cl 0.000 0.500 0.500 x2

[3]
The following is a GGA-PBEsol calculation of Nb2Tl5S4Cl9 after structural relaxation, from Alexandria via LeMat-Bulk.

Calculated volume (Å³/f.u.): 502
Raw formation energy (meV per atom): -1000.8
Total energy (eV/atom): -4.521

a = 6.892 Å, b = 9.389 Å, c = 15.515 Å
α = 90.00°, β = 90.00°, γ = 90.00°
Space group Immm (No. 71)
Unique sites:
1 Nb 0.000 0.000 0.093 x4
2 Tl 0.000 0.218 0.334 x8
3 Tl 0.000 0.500 0.000 x2
4 S 0.243 0.393 0.500 x8
5 Cl 0.000 0.000 0.500 x2
6 Cl 0.000 0.265 0.138 x8
7 Cl 0.247 0.000 0.213 x8

[4]
The following is a GGA-PBEsol calculation of NbZnS2Cl after structural relaxation, from Alexandria via LeMat-Bulk.

Calculated volume (Å³/f.u.): 110
Raw formation energy (meV per atom): -328.4
Total energy (eV/atom): -4.964

a = 4.764 Å, b = 4.764 Å, c = 4.851 Å
α = 90.00°, β = 90.00°, γ = 90.00°
Space group P4/mmm (No. 123)
Unique sites:
1 Nb 0.000 0.000 0.000 x1
2 Zn 0.500 0.500 0.500 x1
3 S 0.000 0.500 0.000 x2
4 Cl 0.000 0.000 0.500 x1

[5]
The following is a GGA-PBEsol calculation of NbZnSCl2 after structural relaxation, from Alexandria via LeMat-Bulk.

Calculated volume (Å³/f.u.): 112
Raw formation energy (meV per atom): -438.9
Total energy (eV/atom): -4.600

a = 4.862 Å, b = 4.862 Å, c = 4.751 Å
α = 90.00°, β = 90.00°, γ = 90.00°
Space group P4/mmm (No. 123)
Unique sites:
1 Nb 0.000 0.000 0.000 x1
2 Zn 0.500 0.500 0.500 x1
3 S 0.000 0.000 0.500 x1
4 Cl 0.000 0.500 0.000 x2

[6]
The following is a GGA-PBEsol calculation of Nb3SeCl after structural relaxation, from Alexandria via LeMat-Bulk.

Calculated volume (Å³/f.u.): 94
Raw formation energy (meV per atom): 622.0
Total energy (eV/atom): -7.042

a = 4.545 Å, b = 4.545 Å, c = 4.545 Å
α = 90.00°, β = 90.00°, γ = 90.00°
Space group Pm-3m (No. 221)
Unique sites:
1 Nb 0.000 0.000 0.500 x3
2 Se 0.500 0.500 0.500 x1
3 Cl 0.000 0.000 0.000 x1

total energy of number 5 (NbZnSCl2)?
-4.600 eV/atom

Please write out number 2 again, unchanged.
The following is a GGA-PBEsol calculation of ScNbSCl2 after structural relaxation, from Alexandria via LeMat-Bulk.

Calculated volume (Å³/f.u.): 110
Raw formation energy (meV per atom): -452.4
Total energy (eV/atom): -5.618

a = 4.778 Å, b = 4.778 Å, c = 4.812 Å
α = 90.00°, β = 90.00°, γ = 90.00°
Space group P4/mmm (No. 123)
Unique sites:
1 Sc 0.000 0.000 0.000 x1
2 Nb 0.500 0.500 0.500 x1
3 S 0.500 0.500 0.000 x1
4 Cl 0.000 0.500 0.500 x2

Please write out number 6 again, unchanged.
The following is a GGA-PBEsol calculation of Nb3SeCl after structural relaxation, from Alexandria via LeMat-Bulk.

Calculated volume (Å³/f.u.): 94
Raw formation energy (meV per atom): 622.0
Total energy (eV/atom): -7.042

a = 4.545 Å, b = 4.545 Å, c = 4.545 Å
α = 90.00°, β = 90.00°, γ = 90.00°
Space group Pm-3m (No. 221)
Unique sites:
1 Nb 0.000 0.000 0.500 x3
2 Se 0.500 0.500 0.500 x1
3 Cl 0.000 0.000 0.000 x1

Please write out number 5 again, unchanged.
The following is a GGA-PBEsol calculation of NbZnSCl2 after structural relaxation, from Alexandria via LeMat-Bulk.

Calculated volume (Å³/f.u.): 112
Raw formation energy (meV per atom): -438.9
Total energy (eV/atom): -4.600

a = 4.862 Å, b = 4.862 Å, c = 4.751 Å
α = 90.00°, β = 90.00°, γ = 90.00°
Space group P4/mmm (No. 123)
Unique sites:
1 Nb 0.000 0.000 0.000 x1
2 Zn 0.500 0.500 0.500 x1
3 S 0.000 0.000 0.500 x1
4 Cl 0.000 0.500 0.000 x2